# 1
Computed, not measured: crystalline Sc2SnRu at its relaxed geometry at the PBE-GGA level of DFT.

VASP energy in Ry/atom: -0.4853
Formation energy from the elements in eV per atom: -0.117

CIF file:
```
data_Sc2SnRu
_symmetry_space_group_name_H-M 'P 1'
_symmetry_Int_Tables_number 1
_symmetry_space_group_name_Hall 'P 1'
_cell_length_a 9.905
_cell_length_b 9.905
_cell_length_c 9.905
_cell_angle_alpha 19.07
_cell_angle_beta 19.07
_cell_angle_gamma 19.07
loop_
_atom_site_label
_atom_site_type_symbol
_atom_site_fract_x
_atom_site_fract_y
_atom_site_fract_z
Sc1 Sc 0.897 0.897 0.897
Sc2 Sc 0.103 0.103 0.103
Ru1 Ru 0.500 0.500 0.500
Sn1 Sn 0.000 0.000 0.000
```

---

# 2
Computed, not measured: crystalline CrCuOs2 at its relaxed geometry at the PBE-GGA level of DFT.

VASP energy in Ry/atom: -0.6436
Excess energy over the best structure of this formula in the dataset in kJ/mol of formula units: 51
Formation energy from the elements in eV per atom: 0.289

CIF file:
```
data_CrCuOs2
_symmetry_space_group_name_H-M 'P 1'
_symmetry_Int_Tables_number 1
_symmetry_space_group_name_Hall 'P 1'
_cell_length_a 2.703
_cell_length_b 2.703
_cell_length_c 7.311
_cell_angle_alpha 90.00
_cell_angle_beta 90.00
_cell_angle_gamma 90.00
loop_
_atom_site_label
_atom_site_type_symbol
_atom_site_fract_x
_atom_site_fract_y
_atom_site_fract_z
Cr1 Cr 0.000 0.000 0.507
Cu1 Cu 0.500 0.500 0.743
Os1 Os 0.000 0.000 0.998
Os2 Os 0.500 0.500 0.252
```

---

# 3
Computed, not measured: crystalline NaCu2Pt2 at its relaxed geometry at the PBE-GGA level of DFT.

VASP energy in Ry/atom: -0.3264
Excess energy over the best structure of this formula in the dataset in kJ/mol of formula units: 0
Formation energy from the elements in eV per atom: -0.122

CIF file:
```
data_NaCu2Pt2
_symmetry_space_group_name_H-M 'P 1'
_symmetry_Int_Tables_number 1
_symmetry_space_group_name_Hall 'P 1'
_cell_length_a 7.626
_cell_length_b 7.626
_cell_length_c 2.707
_cell_angle_alpha 90.00
_cell_angle_beta 90.00
_cell_angle_gamma 90.00
loop_
_atom_site_label
_atom_site_type_symbol
_atom_site_fract_x
_atom_site_fract_y
_atom_site_fract_z
Na1 Na 0.000 0.000 0.000
Na2 Na 0.500 0.500 0.000
Cu1 Cu 0.375 0.875 0.000
Cu2 Cu 0.875 0.625 0.000
Cu3 Cu 0.625 0.125 0.000
Cu4 Cu 0.125 0.375 0.000
Pt1 Pt 0.170 0.670 0.500
Pt2 Pt 0.670 0.830 0.500
Pt3 Pt 0.830 0.330 0.500
Pt4 Pt 0.330 0.170 0.500
```

---

# 4
Computed, not measured: crystalline YCd2Mo at its relaxed geometry at the PBE-GGA level of DFT.

VASP energy in Ry/atom: -0.3360
Excess energy over the best structure of this formula in the dataset in kJ/mol of formula units: 5
Formation energy from the elements in eV per atom: 0.210

CIF file:
```
data_YCd2Mo
_symmetry_space_group_name_H-M 'P 1'
_symmetry_Int_Tables_number 1
_symmetry_space_group_name_Hall 'P 1'
_cell_length_a 3.128
_cell_length_b 4.373
_cell_length_c 6.160
_cell_angle_alpha 90.00
_cell_angle_beta 90.00
_cell_angle_gamma 90.00
loop_
_atom_site_label
_atom_site_type_symbol
_atom_site_fract_x
_atom_site_fract_y
_atom_site_fract_z
Cd1 Cd 0.000 0.000 0.023
Cd2 Cd 0.000 0.000 0.477
Mo1 Mo 0.500 0.500 0.250
Y1 Y 0.500 0.500 0.750
```

---

# 5
Computed, not measured: crystalline CrCu2S4 at its relaxed geometry at the PBE-GGA level of DFT.

VASP energy in Ry/atom: -0.3492
Raw formation energy in kJ per mole of atoms: 14.70

CIF file:
```
data_CrCu2S4
_symmetry_space_group_name_H-M 'P 1'
_symmetry_Int_Tables_number 1
_symmetry_space_group_name_Hall 'P 1'
_cell_length_a 4.716
_cell_length_b 4.716
_cell_length_c 6.512
_cell_angle_alpha 68.77
_cell_angle_beta 68.77
_cell_angle_gamma 90.00
loop_
_atom_site_label
_atom_site_type_symbol
_atom_site_fract_x
_atom_site_fract_y
_atom_site_fract_z
Cr1 Cr 0.000 0.000 0.000
S1 S 0.202 0.202 0.596
S2 S 0.798 0.798 0.404
S3 S 0.000 0.500 0.000
S4 S 0.500 0.000 0.000
Cu1 Cu 0.394 0.394 0.212
Cu2 Cu 0.606 0.606 0.788
```

---

# 6
Computed, not measured: crystalline BaBi4Pd6 at its relaxed geometry at the PBE-GGA level of DFT.

VASP energy in Ry/atom: -0.3506
Formation energy from the elements in eV per atom: -0.351

CIF file:
```
data_BaBi4Pd6
_symmetry_space_group_name_H-M 'P 1'
_symmetry_Int_Tables_number 1
_symmetry_space_group_name_Hall 'P 1'
_cell_length_a 4.600
_cell_length_b 7.919
_cell_length_c 7.919
_cell_angle_alpha 120.00
_cell_angle_beta 90.00
_cell_angle_gamma 90.00
loop_
_atom_site_label
_atom_site_type_symbol
_atom_site_fract_x
_atom_site_fract_y
_atom_site_fract_z
Ba1 Ba 0.000 0.000 0.000
Bi1 Bi 0.500 0.807 0.615
Bi2 Bi 0.500 0.385 0.193
Bi3 Bi 0.500 0.807 0.193
Bi4 Bi 0.000 0.333 0.667
Pd1 Pd 0.000 0.543 0.086
Pd2 Pd 0.500 0.582 0.791
Pd3 Pd 0.000 0.543 0.457
Pd4 Pd 0.000 0.914 0.457
Pd5 Pd 0.500 0.209 0.791
Pd6 Pd 0.500 0.209 0.418
```

---

# 7
Computed, not measured: crystalline Na2MgS2 at its relaxed geometry at the PBE-GGA level of DFT.

VASP energy in Ry/atom: -0.2529
Raw formation energy in kJ per mole of atoms: -91.00

CIF file:
```
data_Na2MgS2
_symmetry_space_group_name_H-M 'P 1'
_symmetry_Int_Tables_number 1
_symmetry_space_group_name_Hall 'P 1'
_cell_length_a 7.132
_cell_length_b 7.132
_cell_length_c 4.050
_cell_angle_alpha 90.00
_cell_angle_beta 90.00
_cell_angle_gamma 90.00
loop_
_atom_site_label
_atom_site_type_symbol
_atom_site_fract_x
_atom_site_fract_y
_atom_site_fract_z
Na1 Na 0.132 0.632 0.500
Na2 Na 0.632 0.868 0.500
Na3 Na 0.868 0.368 0.500
Na4 Na 0.368 0.132 0.500
S1 S 0.317 0.817 0.000
S2 S 0.817 0.683 0.000
S3 S 0.683 0.183 0.000
S4 S 0.183 0.317 0.000
Mg1 Mg 0.000 0.000 0.000
Mg2 Mg 0.500 0.500 0.000
```

---

# 8
Computed, not measured: crystalline Ho2SiRh at its relaxed geometry at the PBE-GGA level of DFT.

VASP energy in Ry/atom: -0.4650
Raw formation energy in kJ per mole of atoms: -81.40

CIF file:
```
data_Ho2SiRh
_symmetry_space_group_name_H-M 'P 1'
_symmetry_Int_Tables_number 1
_symmetry_space_group_name_Hall 'P 1'
_cell_length_a 4.140
_cell_length_b 5.646
_cell_length_c 8.012
_cell_angle_alpha 112.02
_cell_angle_beta 90.00
_cell_angle_gamma 90.00
loop_
_atom_site_label
_atom_site_type_symbol
_atom_site_fract_x
_atom_site_fract_y
_atom_site_fract_z
Ho1 Ho 0.750 0.220 0.416
Ho2 Ho 0.250 0.780 0.584
Ho3 Ho 0.250 0.785 0.064
Ho4 Ho 0.750 0.215 0.936
Si1 Si 0.750 0.655 0.292
Si2 Si 0.250 0.345 0.708
Rh1 Rh 0.250 0.371 0.216
Rh2 Rh 0.750 0.629 0.784
```

---

# 9
Computed, not measured: crystalline CeDy4HoTm2 at its relaxed geometry at the PBE-GGA level of DFT.

VASP energy in Ry/atom: -0.3446
Formation energy from the elements in eV per atom: 0.045

CIF file:
```
data_CeDy4HoTm2
_symmetry_space_group_name_H-M 'P 1'
_symmetry_Int_Tables_number 1
_symmetry_space_group_name_Hall 'P 1'
_cell_length_a 4.984
_cell_length_b 4.979
_cell_length_c 11.146
_cell_angle_alpha 63.48
_cell_angle_beta 90.00
_cell_angle_gamma 90.00
loop_
_atom_site_label
_atom_site_type_symbol
_atom_site_fract_x
_atom_site_fract_y
_atom_site_fract_z
Ce1 Ce 0.000 0.500 0.500
Dy1 Dy 0.000 0.750 0.749
Dy2 Dy 0.000 0.250 0.251
Dy3 Dy 0.500 0.749 0.251
Dy4 Dy 0.500 0.251 0.749
Ho1 Ho 0.500 0.500 0.000
Tm1 Tm 0.000 0.000 0.000
Tm2 Tm 0.500 0.000 0.500
```

---

# 10
Computed, not measured: crystalline NdGe2Pd at its relaxed geometry at the PBE-GGA level of DFT.

VASP energy in Ry/atom: -0.4097
Formation energy from the elements in eV per atom: -0.776

CIF file:
```
data_NdGe2Pd
_symmetry_space_group_name_H-M 'P 1'
_symmetry_Int_Tables_number 1
_symmetry_space_group_name_Hall 'P 1'
_cell_length_a 4.246
_cell_length_b 7.246
_cell_length_c 10.683
_cell_angle_alpha 90.00
_cell_angle_beta 90.00
_cell_angle_gamma 90.00
loop_
_atom_site_label
_atom_site_type_symbol
_atom_site_fract_x
_atom_site_fract_y
_atom_site_fract_z
Nd1 Nd 0.750 0.662 0.631
Nd2 Nd 0.250 0.838 0.131
Nd3 Nd 0.250 0.338 0.369
Nd4 Nd 0.750 0.162 0.869
Ge1 Ge 0.750 0.193 0.567
Ge2 Ge 0.250 0.307 0.067
Ge3 Ge 0.250 0.807 0.433
Ge4 Ge 0.750 0.693 0.933
Ge5 Ge 0.750 0.643 0.335
Ge6 Ge 0.250 0.857 0.835
Ge7 Ge 0.250 0.357 0.665
Ge8 Ge 0.750 0.143 0.165
Pd1 Pd 0.750 0.994 0.371
Pd2 Pd 0.250 0.506 0.871
Pd3 Pd 0.250 0.006 0.629
Pd4 Pd 0.750 0.494 0.129
```